<i>
Here is a relaxed Ca2InSb crystal from Alexandria. Energies are from PBEsol.

abc: 3.9999 3.9999 6.9016
angles: 90.00 90.00 90.00
Fractional positions:
In: 0.5000 0.5000 0.0000
Ca: 0.0000 0.0000 0.2640
Ca: 0.0000 0.0000 0.7360
Sb: 0.5000 0.5000 0.5000

Calculated values
V	110.4	Å³/cell
symmetry	P4/mmm
density of states at the Fermi level	2.2	states/eV per cell

***

<ii>
Here is a relaxed Ca2InSb crystal from Alexandria. Energies are from PBEsol.

abc: 4.2907 5.0431 5.0431
angles: 90.00 90.01 90.01
Fractional positions:
Ca: 0.0000 0.0000 0.5000
Sb: 0.5000 0.5000 0.5000
Ca: 0.0000 0.5000 0.0000
In: 0.5000 0.0000 0.0000

Calculated values
V	109.1	Å³/cell
symmetry	P4/mmm
density of states at the Fermi level	1.7	states/eV per cell

***

Most stable structure: <ii>

***

<i>
Here is a relaxed Ca2InSe crystal from Alexandria. Energies are from PBEsol.

abc: 3.5323 3.5323 8.1814
angles: 90.00 90.00 90.00
Fractional positions:
Se: 0.5000 0.5000 0.0000
In: 0.5000 0.5000 0.5000
Ca: 0.0000 0.0000 0.2141
Ca: 0.0000 0.0000 0.7859

Calculated values
V	102.1	Å³/cell
symmetry	P4/mmm
density of states at the Fermi level	1.5	states/eV per cell

***

<ii>
Here is a relaxed Ca2InSe crystal from Alexandria. Energies are from PBEsol.

abc: 3.9347 3.9347 8.7643
angles: 77.03 77.03 60.00
Fractional positions:
Ca: 0.7640 0.7640 0.7081
In: 0.0000 0.0000 0.0000
Se: 0.5000 0.5000 0.5000
Ca: 0.2360 0.2360 0.2919

Calculated values
V	113.5	Å³/cell
symmetry	R-3m
density of states at the Fermi level	2.9	states/eV per cell

***

<iii>
Here is a relaxed Ca2InSe crystal from Alexandria. Energies are from PBEsol.

abc: 3.8884 3.8884 8.5313
angles: 90.00 90.00 90.00
Fractional positions:
Ca: 0.5000 0.5000 0.2612
Se: 0.5000 0.5000 0.9312
In: 0.0000 0.0000 0.4620
Ca: 0.0000 0.0000 0.8456

Calculated values
V	129.0	Å³/cell
symmetry	P4mm
density of states at the Fermi level	3.0	states/eV per cell

***

Most stable structure: <ii>

***

<i>
Here is a relaxed CaInSn3 crystal from Alexandria. Energies are from PBEsol.

abc: 5.5242 5.5242 5.5242
angles: 90.00 90.00 90.00
Fractional positions:
In: 0.0000 0.0000 0.0000
Ca: 0.5000 0.5000 0.5000
Sn: 0.5000 0.0000 0.0000
Sn: 0.0000 0.5000 0.0000
Sn: 0.0000 0.0000 0.5000

Calculated values
V	168.6	Å³/cell
symmetry	Pm-3m
density of states at the Fermi level	3.2	states/eV per cell

***

<ii>
Here is a relaxed CaInSn3 crystal from Alexandria. Energies are from PBEsol.

abc: 5.6424 5.6424 5.6424
angles: 90.00 90.00 90.00
Fractional positions:
In: 0.5000 0.5000 0.5000
Sn: 0.5000 0.0000 0.0000
Sn: 0.0000 0.0000 0.5000
Sn: 0.0000 0.5000 0.0000
Ca: 0.0000 0.0000 0.0000

Calculated values
V	179.6	Å³/cell
symmetry	Pm-3m
density of states at the Fermi level	4.5	states/eV per cell

***

Most stable structure: <i>

***

<i>
Here is a relaxed Ca2Tl2In crystal from Alexandria. Energies are from PBEsol.

abc: 4.8616 4.8616 7.4513
angles: 109.04 109.04 90.00
Fractional positions:
Ca: 0.7500 0.2500 0.5000
In: 0.0000 0.0000 0.0000
Ca: 0.2500 0.7500 0.5000
Tl: 0.6022 0.6022 0.2044
Tl: 0.3978 0.3978 0.7956

Calculated values
V	156.2	Å³/cell
symmetry	I4/mmm
density of states at the Fermi level	2.6	states/eV per cell

***

<ii>
Here is a relaxed Ca2Tl2In crystal from Alexandria. Energies are from PBEsol.

abc: 4.0780 8.2724 8.2724
angles: 90.00 90.00 90.00
Fractional positions:
Tl: 0.0000 0.6313 0.1313
In: 0.0000 0.0000 0.0000
Tl: 0.0000 0.3687 0.8687
In: 0.0000 0.5000 0.5000
Ca: 0.5000 0.3299 0.1701
Ca: 0.5000 0.8299 0.3299
Ca: 0.5000 0.1701 0.6701
Tl: 0.0000 0.1313 0.3687
Tl: 0.0000 0.8687 0.6313
Ca: 0.5000 0.6701 0.8299

Calculated values
V	279.1	Å³/cell
symmetry	P4/mbm
density of states at the Fermi level	6.6	states/eV per cell

***

Most stable structure: <ii>

***

<i>
Here is a relaxed CaIn2W crystal from Alexandria. Energies are from PBEsol.

abc: 3.0126 3.0126 9.5620
angles: 90.00 90.00 98.57
Fractional positions:
In: 0.0000 0.0000 0.9891
In: 0.5000 0.5000 0.7317
W: 0.0000 0.0000 0.5129
Ca: 0.5000 0.5000 0.2663

Calculated values
V	85.8	Å³/cell
symmetry	Cmm2
density of states at the Fermi level	2.7	states/eV per cell

***

<ii>
Here is a relaxed CaIn2W crystal from Alexandria. Energies are from PBEsol.

abc: 2.9674 5.4103 5.4103
angles: 110.93 90.00 90.00
Fractional positions:
W: 0.5000 0.0000 0.0000
In: 0.0000 0.0000 0.5000
Ca: 0.5000 0.5000 0.5000
In: 0.0000 0.5000 0.0000

Calculated values
V	81.1	Å³/cell
symmetry	Cmmm
density of states at the Fermi level	2.7	states/eV per cell

***

Most stable structure: <ii>

***

<i>
Here is a relaxed CaYIn crystal from Alexandria. Energies are from PBEsol.

abc: 5.3452 5.3452 6.7668
angles: 90.00 90.00 120.00
Fractional positions:
Y: 0.3333 0.6667 0.7500
Ca: 0.0000 0.0000 0.5000
Y: 0.6667 0.3333 0.2500
Ca: 0.0000 0.0000 0.0000
In: 0.6667 0.3333 0.7500
In: 0.3333 0.6667 0.2500

Calculated values
V	167.4	Å³/cell
symmetry	P6_3/mmc
density of states at the Fermi level	1.3	states/eV per cell

***

<ii>
Here is a relaxed CaYIn crystal from Alexandria. Energies are from PBEsol.

abc: 3.6121 3.6121 8.0949
angles: 90.00 90.00 120.00
Fractional positions:
In: 0.6667 0.3333 0.6631
Y: 0.3333 0.6667 0.3637
Ca: 0.0000 0.0000 0.9731

Calculated values
V	91.5	Å³/cell
symmetry	P3m1
density of states at the Fermi level	3.0	states/eV per cell

***

Most stable structure: <i>

***

<i>
Here is a relaxed CaZrIn crystal from Alexandria. Energies are from PBEsol.

abc: 4.9777 4.9777 4.9777
angles: 60.00 60.00 60.00
Fractional positions:
Zr: 0.2500 0.2500 0.2500
In: 0.5000 0.5000 0.5000
Ca: 0.0000 0.0000 0.0000

Calculated values
V	87.2	Å³/cell
symmetry	F-43m
density of states at the Fermi level	3.2	states/eV per cell

***

<ii>
Here is a relaxed CaZrIn crystal from Alexandria. Energies are from PBEsol.

abc: 3.1569 4.2700 6.2681
angles: 109.91 104.59 90.00
Fractional positions:
Ca: 0.9892 0.9892 0.9783
Zr: 0.6915 0.6915 0.3830
In: 0.3194 0.3194 0.6387

Calculated values
V	76.5	Å³/cell
symmetry	Imm2
density of states at the Fermi level	3.0	states/eV per cell

***

Most stable structure: <ii>

***

<i>
Here is a relaxed K2CaIr crystal from Alexandria. Energies are from PBEsol.

abc: 5.3065 5.3065 5.3065
angles: 60.00 60.00 60.00
Fractional positions:
K: 0.7500 0.7500 0.7500
Ca: 0.5000 0.5000 0.5000
K: 0.0000 0.0000 0.0000
Ir: 0.2500 0.2500 0.2500

Calculated values
V	105.7	Å³/cell
symmetry	F-43m
density of states at the Fermi level	3.2	states/eV per cell

***

<ii>
Here is a relaxed K2CaIr crystal from Alexandria. Energies are from PBEsol.

abc: 3.8005 4.8711 6.7185
angles: 110.15 105.05 93.66
Fractional positions:
Ca: 0.5000 0.0000 0.0000
Ir: 0.0000 0.5000 0.0000
K: 0.0000 0.0000 0.5000
K: 0.5000 0.5000 0.5000

Calculated values
V	111.1	Å³/cell
symmetry	C2/m
density of states at the Fermi level	2.1	states/eV per cell

***

Most stable structure: <i>

***

<i>
Here is a relaxed CaLa2Ir crystal from Alexandria. Energies are from PBEsol.

abc: 3.8514 5.6599 6.3315
angles: 116.55 107.71 90.00
Fractional positions:
Ca: 0.5000 0.0000 0.0000
La: 0.3114 0.3114 0.6229
Ir: 0.0000 0.5000 0.0000
La: 0.6886 0.6886 0.3771

Calculated values
V	116.1	Å³/cell
symmetry	Immm
density of states at the Fermi level	3.6	states/eV per cell

***

<ii>
Here is a relaxed CaLa2Ir crystal from Alexandria. Energies are from PBEsol.

abc: 3.8229 4.3514 8.0867
angles: 105.61 90.00 90.00
Fractional positions:
Ir: 0.5000 0.6324 0.2648
Ca: 0.0000 0.7911 0.5822
La: 0.0000 0.1129 0.2258
La: 0.5000 0.4561 0.9122

Calculated values
V	129.6	Å³/cell
symmetry	Amm2
density of states at the Fermi level	3.6	states/eV per cell

***

Most stable structure: <i>

***

<i>
Here is a relaxed LiCaIr crystal from Alexandria. Energies are from PBEsol.

abc: 4.4969 4.4969 4.4969
angles: 60.00 60.00 60.00
Fractional positions:
Ir: 0.0000 0.0000 0.0000
Li: 0.5000 0.5000 0.5000
Ca: 0.7500 0.7500 0.7500

Calculated values
V	64.3	Å³/cell
symmetry	F-43m
density of states at the Fermi level	8.1	states/eV per cell

***

<ii>
Here is a relaxed LiCaIr crystal from Alexandria. Energies are from PBEsol.

abc: 3.0415 3.0415 7.1481
angles: 90.00 90.00 120.00
Fractional positions:
Li: 0.6667 0.3333 0.3869
Ca: 0.0000 0.0000 0.9561
Ir: 0.3333 0.6667 0.6569

Calculated values
V	57.3	Å³/cell
symmetry	P3m1
density of states at the Fermi level	1.2	states/eV per cell

***

Most stable structure: <ii>

***

<i>
Here is a relaxed Li2CaIr crystal from Alexandria. Energies are from PBEsol.

abc: 4.3088 4.3088 5.2104
angles: 65.58 65.58 60.00
Fractional positions:
Ca: 0.4950 0.4950 0.5151
Li: 0.2937 0.2937 0.1190
Li: 0.0086 0.0086 0.9742
Ir: 0.7080 0.7080 0.8761

Calculated values
V	73.6	Å³/cell
symmetry	R3m
density of states at the Fermi level	2.3	states/eV per cell

***

<ii>
Here is a relaxed Li2CaIr crystal from Alexandria. Energies are from PBEsol.

abc: 3.1700 4.1672 6.0224
angles: 90.00 105.15 90.00
Fractional positions:
Li: 0.7563 0.5000 0.1396
Ca: 0.4756 0.0000 0.5729
Ir: 0.0784 0.5000 0.7800
Li: 0.1898 0.0000 0.0075

Calculated values
V	76.8	Å³/cell
symmetry	Pm
density of states at the Fermi level	1.6	states/eV per cell

***

Most stable structure: <i>

***

<i>
Here is a relaxed CaNiIr3 crystal from Alexandria. Energies are from PBEsol.

abc: 4.6147 4.6147 4.6147
angles: 90.00 90.00 90.00
Last column: magnetic moment on the atom in μB.
Fractional positions:
Ir: 0.5000 0.0000 0.0000  0.68
Ca: 0.0000 0.0000 0.0000  -0.03
Ni: 0.5000 0.5000 0.5000  1.01
Ir: 0.0000 0.5000 0.0000  0.68
Ir: 0.0000 0.0000 0.5000  0.68

Calculated values
V	98.3	Å³/cell
symmetry	Pm-3m
density of states at the Fermi level	9.2	states/eV per cell

***

<ii>
Here is a relaxed CaNiIr3 crystal from Alexandria. Energies are from PBEsol.

abc: 4.5020 4.5020 4.5020
angles: 90.00 90.00 90.00
Last column: magnetic moment on the atom in μB.
Fractional positions:
Ir: 0.0000 0.5000 0.0000  0.64
Ni: 0.0000 0.0000 0.0000  0.80
Ir: 0.5000 0.0000 0.0000  0.64
Ir: 0.0000 0.0000 0.5000  0.64
Ca: 0.5000 0.5000 0.5000  0.00

Calculated values
V	91.2	Å³/cell
symmetry	Pm-3m
density of states at the Fermi level	8.8	states/eV per cell

***

Most stable structure: <ii>